# PmErGa6 | Alexandria | PBE | optimized geometry
data_PmErGa6
_chemical_formula_sum 'Pm1 Er1 Ga6'
_cell_length_a 4.5985
_cell_length_b 6.3090
_cell_length_c 6.3090
_cell_angle_alpha 119.96
_cell_angle_beta 90.00
_cell_angle_gamma 90.00
_space_group_name_H-M_alt 'P 1'
_space_group_IT_number 1
loop_
_space_group_symop_operation_xyz
'x,y,z'
loop_
_atom_site_label
_atom_site_fract_x
_atom_site_fract_y
_atom_site_fract_z
_atom_site_occupancy
Er1 0.5000 0.4164 0.5836 1
Ga1 0.5000 0.8942 0.5388 1
Ga2 0.5000 0.8945 0.1055 1
Ga3 0.5000 0.4612 0.1058 1
Ga4 0.0000 0.6024 0.9546 1
Ga5 0.0000 0.0454 0.3976 1
Ga6 0.0000 0.6021 0.3979 1
Pm1 0.0000 0.0835 0.9165 1
# Space group = P-6m2, No. 187
# V = 19.8 A^3/atom
# DFT formation energy = -537 meV per atom